(1)
## Na3TcBi3O8 (PBE)

Data for an optimized crystal structure of Na3TcBi3O8. Values from VASP.

Properties
- uncorrected formation energy (eV/atom) = -1.317
- SG = R-3m
- uncorrected energy (eV/atom) = -5.6922

```
&SYSTEM
  ibrav = 0, nat = 15, ntyp = 4
/
ATOMIC_SPECIES
Na 22.99 Na.upf
Tc 98.00 Tc.upf
Bi 208.98 Bi.upf
O 16.00 O.upf
ATOMIC_POSITIONS crystal
Na 0.000 0.500 0.500
Na 0.500 0.000 0.500
Na 0.500 0.500 0.000
Tc 0.500 0.500 0.500
Bi 0.000 0.000 0.500
Bi 0.000 0.500 0.000
Bi 0.500 0.000 0.000
O 0.245 0.245 0.245
O 0.276 0.713 0.713
O 0.287 0.287 0.724
O 0.287 0.724 0.287
O 0.713 0.276 0.713
O 0.713 0.713 0.276
O 0.724 0.287 0.287
O 0.755 0.755 0.755
CELL_PARAMETERS angstrom
3.459 1.997 5.650
-3.459 1.997 5.650
0.000 -3.994 5.650
```

(2)
## SmTm4Zn (PBE)

Data for an optimized crystal structure of SmTm4Zn. Values from VASP.

Properties
- SG = C2/c
- uncorrected energy (eV/atom) = -3.9783
- energy relative to the lowest polymorph listed for this composition (eV/atom) = 0.097
- formation energy from the elements (meV per atom) = 2

```
&SYSTEM
  ibrav = 0, nat = 12, ntyp = 3
/
ATOMIC_SPECIES
Sm 150.36 Sm.upf
Tm 168.93 Tm.upf
Zn 65.41 Zn.upf
ATOMIC_POSITIONS crystal
Sm 0.099 0.901 0.750
Sm 0.901 0.099 0.250
Tm 0.115 0.336 0.870
Tm 0.214 0.578 0.450
Tm 0.336 0.115 0.370
Tm 0.422 0.786 0.050
Tm 0.578 0.214 0.950
Tm 0.664 0.885 0.630
Tm 0.786 0.422 0.550
Tm 0.885 0.664 0.130
Zn 0.500 0.500 0.250
Zn 0.500 0.500 0.750
CELL_PARAMETERS angstrom
4.376 -6.742 0.000
4.376 6.742 0.000
-1.983 0.000 5.779
```

(3)
## MnGa3Ir (PBE)

Data for an optimized crystal structure of MnGa3Ir. Values from VASP.

Properties
- SG = Pm-3m
- uncorrected energy (eV/atom) = -5.1667
- energy relative to the lowest polymorph listed for this composition (eV/atom) = 0.000
- formation energy from the elements (meV per atom) = 256

```
&SYSTEM
  ibrav = 0, nat = 5, ntyp = 3
/
ATOMIC_SPECIES
Mn 54.94 Mn.upf
Ga 69.72 Ga.upf
Ir 192.22 Ir.upf
ATOMIC_POSITIONS crystal
Mn 0.000 0.000 0.000
Ga 0.000 0.500 0.500
Ga 0.500 0.000 0.500
Ga 0.500 0.500 0.000
Ir 0.500 0.500 0.500
CELL_PARAMETERS angstrom
4.919 0.000 0.000
0.000 4.919 0.000
0.000 0.000 4.919
```

(4)
## TlCuBr2 (PBE)

Data for an optimized crystal structure of TlCuBr2. Values from VASP.

Properties
- uncorrected formation energy (eV/atom) = -0.525
- SG = Pm
- uncorrected energy (eV/atom) = -2.9770
- energy relative to the lowest polymorph listed for this composition (eV/atom) = 0.017

```
&SYSTEM
  ibrav = 0, nat = 4, ntyp = 3
/
ATOMIC_SPECIES
Tl 204.38 Tl.upf
Cu 63.55 Cu.upf
Br 79.90 Br.upf
ATOMIC_POSITIONS crystal
Tl 0.000 0.000 0.000
Cu 0.632 0.500 0.266
Br 0.443 0.500 0.886
Br 0.731 0.000 0.458
CELL_PARAMETERS angstrom
5.038 0.000 0.000
0.000 4.164 0.000
-2.490 0.000 6.218
```

(5)
## CrNi (PBE)

Data for an optimized crystal structure of CrNi. Values from VASP.

Properties
- SG = P4/nmm
- uncorrected energy (eV/atom) = -7.5932
- formation energy from the elements (meV per atom) = 109

```
&SYSTEM
  ibrav = 0, nat = 4, ntyp = 2
/
ATOMIC_SPECIES
Cr 52.00 Cr.upf
Ni 58.69 Ni.upf
ATOMIC_POSITIONS crystal
Cr 0.250 0.250 0.124
Cr 0.750 0.750 0.876
Ni 0.250 0.250 0.624
Ni 0.750 0.750 0.376
CELL_PARAMETERS angstrom
2.928 0.000 0.000
0.000 2.928 0.000
0.000 0.000 5.256
```

(6)
## CaThBi2 (PBE)

Data for an optimized crystal structure of CaThBi2. Values from VASP.

Properties
- SG = R-3m
- uncorrected energy (eV/atom) = -5.0396
- energy relative to the lowest polymorph listed for this composition (eV/atom) = 0.000
- formation energy from the elements (meV per atom) = -744

```
&SYSTEM
  ibrav = 0, nat = 12, ntyp = 3
/
ATOMIC_SPECIES
Ca 40.08 Ca.upf
Th 232.04 Th.upf
Bi 208.98 Bi.upf
ATOMIC_POSITIONS crystal
Ca 0.000 0.000 0.000
Ca 0.333 0.667 0.667
Ca 0.667 0.333 0.333
Th 0.000 0.000 0.500
Th 0.333 0.667 0.167
Th 0.667 0.333 0.833
Bi 0.000 0.000 0.249
Bi 0.000 0.000 0.751
Bi 0.333 0.667 0.418
Bi 0.333 0.667 0.915
Bi 0.667 0.333 0.085
Bi 0.667 0.333 0.582
CELL_PARAMETERS angstrom
4.643 0.000 0.000
-2.322 4.021 0.000
0.000 0.000 22.486
```